The following is a PBE with a Hubbard U calculation of a relaxed NaMnTl2F crystal, from Alexandria.

Calculated values
E_tot = -3.543 eV/atom
Fermi-level density of states = 2.46 states/eV/cell

Cell lengths 5.7905, 5.7905, 4.0665 Å; angles 90.00, 90.00, 90.00 degrees
Last column: nearest neighbours and their distance in Å.
Space group P4/mmm (No. 123)
Asymmetric unit:
1 Na 0.0000 0.0000 0.0000 (multiplicity 1)  8 Tl 3.54
2 Mn 0.5000 0.5000 0.0000 (multiplicity 1)  2 F 2.03
3 Tl 0.0000 0.5000 0.5000 (multiplicity 2)  2 F 2.90
4 F 0.5000 0.5000 0.5000 (multiplicity 1)  2 Mn 2.03